Entry 1:
{
  "formula": "BeTc2",
  "functional": "GGA-PBEsol",
  "state": "optimized geometry",
  "lattice": [[-2.778, 2.778, 2.264], [2.778, -2.778, 2.264], [2.778, 2.778, -2.264]],
  "species": ["Be", "Be", "Tc", "Tc", "Tc", "Tc"],
  "fractional_positions": [[0.250, 0.250, 0.000], [0.750, 0.750, 0.000], [0.161, 0.661, 0.821], [0.339, 0.161, 0.500], [0.661, 0.839, 0.500], [0.839, 0.339, 0.179]],
  "polymorph_energy_mev_per_atom": 0,
  "mass_density_g_cm3": 9.74
}

---

Entry 2:
{
  "formula": "Sc3SbH",
  "functional": "GGA-PBEsol",
  "state": "optimized geometry",
  "lattice": [[4.398, 0.000, 0.000], [0.000, 4.398, 0.000], [0.000, 0.000, 4.398]],
  "species": ["Sc", "Sc", "Sc", "Sb", "H"],
  "fractional_positions": [[0.000, 0.000, 0.500], [0.000, 0.500, 0.000], [0.500, 0.000, 0.000], [0.500, 0.500, 0.500], [0.000, 0.000, 0.000]],
  "e_tot_ev_per_atom": -6.15,
  "mass_density_g_cm3": 5.03
}

---

Entry 3:
{
  "formula": "K2AlP",
  "functional": "GGA-PBEsol",
  "state": "optimized geometry",
  "lattice": [[3.077, 0.000, 0.000], [0.000, 3.077, 0.000], [0.000, 0.000, 10.740]],
  "species": ["K", "K", "Al", "P"],
  "fractional_positions": [[0.000, 0.000, 0.215], [0.000, 0.000, 0.785], [0.500, 0.500, 0.500], [0.500, 0.500, 0.000]],
  "polymorph_energy_mev_per_atom": 0,
  "mass_density_g_cm3": 2.22
}

---

Entry 4:
{
  "formula": "ZrCoSb2",
  "functional": "GGA-PBEsol",
  "state": "optimized geometry",
  "lattice": [[0.000, 3.412, 3.412], [3.412, 0.000, 3.412], [3.412, 3.412, 0.000]],
  "species": ["Zr", "Co", "Sb", "Sb"],
  "fractional_positions": [[0.000, 0.000, 0.000], [0.750, 0.750, 0.750], [0.250, 0.250, 0.250], [0.500, 0.500, 0.500]],
  "e_form_raw_ev_per_fu": 0.87,
  "mass_density_g_cm3": 8.23
}

---

Entry 5:
{
  "formula": "RbMgNb2N",
  "functional": "GGA-PBEsol",
  "state": "optimized geometry",
  "lattice": [[4.890, 0.000, 0.000], [0.000, 4.890, 0.000], [0.000, 0.000, 4.367]],
  "species": ["Rb", "Mg", "Nb", "Nb", "N"],
  "fractional_positions": [[0.000, 0.000, 0.000], [0.500, 0.500, 0.500], [0.000, 0.500, 0.000], [0.500, 0.000, 0.000], [0.000, 0.000, 0.500]],
  "e_form_raw_ev_per_fu": 14.34,
  "mass_density_g_cm3": 4.92
}

---

Entry 6:
{
  "formula": "NaSr3As",
  "functional": "GGA-PBEsol",
  "state": "optimized geometry",
  "lattice": [[6.054, 0.000, 0.000], [0.000, 6.054, 0.000], [0.000, 0.000, 6.054]],
  "species": ["Na", "Sr", "Sr", "Sr", "As"],
  "fractional_positions": [[0.000, 0.000, 0.000], [0.000, 0.500, 0.500], [0.500, 0.000, 0.500], [0.500, 0.500, 0.000], [0.500, 0.500, 0.500]],
  "e_tot_ev_per_atom": -2.89,
  "mass_density_g_cm3": 2.70
}

---

Entry 7:
{
  "formula": "Al2SbCl",
  "functional": "GGA-PBEsol",
  "state": "optimized geometry",
  "lattice": [[1.787, -2.638, 0.000], [1.787, 2.638, 0.000], [0.000, 0.000, 8.798]],
  "species": ["Al", "Al", "Sb", "Cl"],
  "fractional_positions": [[0.000, 0.000, 0.236], [0.000, 0.000, 0.764], [0.500, 0.500, 0.500], [0.500, 0.500, 0.000]],
  "e_form_raw_ev_per_fu": -0.02,
  "polymorph_energy_mev_per_atom": 138,
  "mass_density_g_cm3": 4.23
}

---

Entry 8:
{
  "formula": "PrB2HF10",
  "functional": "GGA-PBEsol",
  "state": "optimized geometry",
  "lattice": [[7.120, 0.000, 0.000], [0.000, 5.890, 0.000], [-3.313, 0.000, 8.115]],
  "species": ["Pr", "Pr", "B", "B", "B", "B", "H", "H", "F", "F", "F", "F", "F", "F", "F", "F", "F", "F", "F", "F", "F", "F", "F", "F", "F", "F", "F", "F"],
  "fractional_positions": [[0.233, 0.250, 0.159], [0.767, 0.750, 0.841], [0.262, 0.750, 0.453], [0.423, 0.250, 0.812], [0.577, 0.750, 0.188], [0.738, 0.250, 0.547], [0.063, 0.750, 0.640], [0.937, 0.250, 0.360], [0.000, 0.000, 0.000], [0.000, 0.500, 0.000], [0.052, 0.750, 0.750], [0.082, 0.750, 0.486], [0.264, 0.555, 0.361], [0.264, 0.945, 0.361], [0.283, 0.250, 0.892], [0.328, 0.250, 0.645], [0.431, 0.750, 0.603], [0.449, 0.555, 0.133], [0.449, 0.945, 0.133], [0.551, 0.055, 0.867], [0.551, 0.445, 0.867], [0.569, 0.250, 0.397], [0.672, 0.750, 0.355], [0.717, 0.750, 0.108], [0.736, 0.055, 0.639], [0.736, 0.445, 0.639], [0.918, 0.250, 0.514], [0.948, 0.250, 0.250]],
  "e_tot_ev_per_atom": -6.06,
  "mass_density_g_cm3": 3.45
}

---

Entry 9:
{
  "formula": "BaH3C3O7",
  "functional": "GGA-PBEsol",
  "state": "optimized geometry",
  "lattice": [[5.606, 0.000, 0.000], [0.000, 19.671, 0.000], [-0.650, 0.000, 6.551]],
  "species": ["Ba", "Ba", "Ba", "Ba", "H", "H", "H", "H", "H", "H", "H", "H", "H", "H", "H", "H", "C", "C", "C", "C", "C", "C", "C", "C", "C", "C", "C", "C", "O", "O", "O", "O", "O", "O", "O", "O", "O", "O", "O", "O", "O", "O", "O", "O", "O", "O", "O", "O", "O", "O", "O", "O", "O", "O", "O", "O"],
  "fractional_positions": [[0.226, 0.079, 0.389], [0.226, 0.421, 0.889], [0.774, 0.579, 0.111], [0.774, 0.921, 0.611], [0.027, 0.057, 0.802], [0.027, 0.443, 0.302], [0.073, 0.728, 0.860], [0.073, 0.772, 0.360], [0.202, 0.593, 0.832], [0.202, 0.907, 0.332], [0.798, 0.093, 0.668], [0.798, 0.407, 0.168], [0.927, 0.228, 0.640], [0.927, 0.272, 0.140], [0.973, 0.557, 0.698], [0.973, 0.943, 0.198], [0.315, 0.243, 0.653], [0.315, 0.257, 0.153], [0.396, 0.012, 0.920], [0.396, 0.488, 0.420], [0.434, 0.710, 0.858], [0.434, 0.790, 0.358], [0.566, 0.210, 0.642], [0.566, 0.290, 0.142], [0.604, 0.512, 0.580], [0.604, 0.988, 0.080], [0.685, 0.743, 0.847], [0.685, 0.757, 0.347], [0.085, 0.554, 0.829], [0.085, 0.946, 0.329], [0.138, 0.202, 0.618], [0.138, 0.298, 0.118], [0.234, 0.048, 0.987], [0.234, 0.452, 0.487], [0.257, 0.749, 0.342], [0.257, 0.751, 0.842], [0.303, 0.196, 0.196], [0.303, 0.304, 0.696], [0.402, 0.506, 0.236], [0.402, 0.994, 0.736], [0.422, 0.647, 0.880], [0.422, 0.853, 0.380], [0.578, 0.147, 0.620], [0.578, 0.353, 0.120], [0.598, 0.006, 0.264], [0.598, 0.494, 0.764], [0.697, 0.696, 0.304], [0.697, 0.804, 0.804], [0.743, 0.249, 0.158], [0.743, 0.251, 0.658], [0.766, 0.548, 0.513], [0.766, 0.952, 0.013], [0.862, 0.702, 0.882], [0.862, 0.798, 0.382], [0.915, 0.054, 0.671], [0.915, 0.446, 0.171]],
  "e_tot_ev_per_atom": -6.99,
  "mass_density_g_cm3": 2.65
}

---

Entry 10:
{
  "formula": "MgPb2W",
  "functional": "GGA-PBEsol",
  "state": "optimized geometry",
  "lattice": [[3.246, 0.000, 0.000], [0.000, 4.807, 0.000], [0.000, 0.000, 5.579]],
  "species": ["Mg", "Pb", "Pb", "W"],
  "fractional_positions": [[0.000, 0.000, 0.000], [0.000, 0.500, 0.500], [0.500, 0.500, 0.000], [0.500, 0.000, 0.500]],
  "e_tot_ev_per_atom": -5.10,
  "mass_density_g_cm3": 11.87
}

---

Entry 11:
{
  "formula": "KCa2Os",
  "functional": "GGA-PBEsol",
  "state": "optimized geometry",
  "lattice": [[3.200, 0.000, 0.000], [0.000, 4.752, 0.000], [-0.008, 0.000, 8.857]],
  "species": ["K", "Ca", "Ca", "Os"],
  "fractional_positions": [[0.000, 0.000, 0.000], [0.494, 0.500, 0.381], [0.495, 0.000, 0.633], [0.995, 0.500, 0.657]],
  "polymorph_energy_mev_per_atom": 0,
  "mass_density_g_cm3": 3.82
}

---

Entry 12:
{
  "formula": "La2CeS4",
  "functional": "GGA-PBEsol",
  "state": "optimized geometry",
  "lattice": [[-4.270, 4.270, 4.268], [4.270, -4.270, 4.268], [4.270, 4.270, -4.268]],
  "species": ["La", "La", "La", "La", "Ce", "Ce", "S", "S", "S", "S", "S", "S", "S", "S"],
  "fractional_positions": [[0.375, 0.001, 0.126], [0.751, 0.625, 0.626], [0.875, 0.249, 0.874], [0.999, 0.125, 0.374], [0.250, 0.750, 0.500], [0.500, 0.500, 0.000], [0.128, 0.029, 0.749], [0.129, 0.530, 0.751], [0.280, 0.379, 0.251], [0.470, 0.221, 0.599], [0.621, 0.872, 0.901], [0.622, 0.871, 0.401], [0.779, 0.378, 0.249], [0.971, 0.720, 0.099]],
  "e_form_raw_ev_per_fu": -15.13,
  "mass_density_g_cm3": 5.83
}

---

Entry 13:
{
  "formula": "Sb3Rh",
  "functional": "GGA-PBEsol",
  "state": "optimized geometry",
  "lattice": [[-1.601, 5.752, 2.577], [1.601, -5.752, 2.577], [1.601, 5.752, -2.577]],
  "species": ["Sb", "Sb", "Sb", "Rh"],
  "fractional_positions": [[0.000, 0.000, 0.000], [0.404, 0.577, 0.827], [0.750, 0.577, 0.173], [0.403, 0.903, 0.500]],
  "e_form_raw_ev_per_fu": -0.37,
  "polymorph_energy_mev_per_atom": 321,
  "mass_density_g_cm3": 8.19
}

---

Entry 14:
{
  "formula": "SrMg2As",
  "functional": "GGA-PBEsol",
  "state": "optimized geometry",
  "lattice": [[-2.047, 2.514, 5.076], [2.047, -2.514, 5.076], [2.047, 2.514, -5.076]],
  "species": ["Sr", "Mg", "Mg", "As"],
  "fractional_positions": [[0.000, 0.000, 0.000], [0.403, 0.403, 0.000], [0.715, 0.215, 0.500], [0.235, 0.735, 0.500]],
  "e_tot_ev_per_atom": -2.87,
  "mass_density_g_cm3": 3.36
}

---

Entry 15:
{
  "formula": "MnRhBr2",
  "functional": "GGA-PBEsol",
  "state": "optimized geometry",
  "lattice": [[-2.017, 2.642, 3.437], [2.017, -2.642, 3.437], [2.017, 2.642, -3.437]],
  "species": ["Mn", "Rh", "Br", "Br"],
  "fractional_positions": [[0.000, 0.000, 0.000], [0.500, 0.500, 0.000], [0.266, 0.766, 0.500], [0.734, 0.234, 0.500]],
  "e_form_raw_ev_per_fu": 1.55,
  "polymorph_energy_mev_per_atom": 362,
  "mass_density_g_cm3": 7.20
}

---

Entry 16:
{
  "formula": "SrTc4Sb",
  "functional": "GGA-PBEsol",
  "state": "optimized geometry",
  "lattice": [[0.000, 3.754, 3.754], [3.754, 0.000, 3.754], [3.754, 3.754, 0.000]],
  "species": ["Sr", "Tc", "Tc", "Tc", "Tc", "Sb"],
  "fractional_positions": [[0.000, 0.000, 0.000], [0.377, 0.377, 0.377], [0.377, 0.377, 0.870], [0.377, 0.870, 0.377], [0.870, 0.377, 0.377], [0.750, 0.750, 0.750]],
  "e_form_raw_ev_per_fu": 2.84,
  "mass_density_g_cm3": 9.44
}

---

Entry 17:
{
  "formula": "Sr2SmBeO5",
  "functional": "GGA-PBEsol",
  "state": "optimized geometry",
  "lattice": [[9.455, 0.000, 0.000], [0.000, 7.341, 0.000], [0.000, 0.000, 6.484]],
  "species": ["Sr", "Sr", "Sr", "Sr", "Sr", "Sr", "Sr", "Sr", "Sm", "Sm", "Sm", "Sm", "Be", "Be", "Be", "Be", "O", "O", "O", "O", "O", "O", "O", "O", "O", "O", "O", "O", "O", "O", "O", "O", "O", "O", "O", "O"],
  "fractional_positions": [[0.174, 0.025, 0.088], [0.174, 0.475, 0.088], [0.326, 0.525, 0.588], [0.326, 0.975, 0.588], [0.674, 0.025, 0.412], [0.674, 0.475, 0.412], [0.826, 0.525, 0.912], [0.826, 0.975, 0.912], [0.029, 0.250, 0.594], [0.471, 0.750, 0.094], [0.529, 0.250, 0.906], [0.971, 0.750, 0.406], [0.100, 0.750, 0.811], [0.400, 0.250, 0.311], [0.600, 0.750, 0.689], [0.900, 0.250, 0.189], [0.012, 0.750, 0.035], [0.062, 0.563, 0.687], [0.062, 0.937, 0.687], [0.222, 0.750, 0.326], [0.229, 0.250, 0.376], [0.271, 0.750, 0.876], [0.278, 0.250, 0.826], [0.438, 0.063, 0.187], [0.438, 0.437, 0.187], [0.488, 0.250, 0.535], [0.512, 0.750, 0.465], [0.562, 0.563, 0.813], [0.562, 0.937, 0.813], [0.722, 0.750, 0.174], [0.729, 0.250, 0.124], [0.771, 0.750, 0.624], [0.778, 0.250, 0.674], [0.938, 0.063, 0.313], [0.938, 0.437, 0.313], [0.988, 0.250, 0.965]],
  "e_form_raw_ev_per_fu": -25.30,
  "mass_density_g_cm3": 6.12
}

---

Entry 18:
{
  "formula": "Na4P3H3O11",
  "functional": "GGA-PBEsol",
  "state": "optimized geometry",
  "lattice": [[6.869, 0.000, 0.000], [0.000, 12.067, 0.000], [0.000, 0.000, 11.842]],
  "species": ["Na", "Na", "Na", "Na", "Na", "Na", "Na", "Na", "Na", "Na", "Na", "Na", "Na", "Na", "Na", "Na", "P", "P", "P", "P", "P", "P", "P", "P", "P", "P", "P", "P", "H", "H", "H", "H", "H", "H", "H", "H", "H", "H", "H", "H", "O", "O", "O", "O", "O", "O", "O", "O", "O", "O", "O", "O", "O", "O", "O", "O", "O", "O", "O", "O", "O", "O", "O", "O", "O", "O", "O", "O", "O", "O", "O", "O", "O", "O", "O", "O", "O", "O", "O", "O", "O", "O", "O", "O"],
  "fractional_positions": [[0.189, 0.194, 0.006], [0.189, 0.806, 0.506], [0.213, 0.096, 0.314], [0.213, 0.904, 0.814], [0.287, 0.404, 0.814], [0.287, 0.596, 0.314], [0.311, 0.306, 0.506], [0.311, 0.694, 0.006], [0.689, 0.306, 0.994], [0.689, 0.694, 0.494], [0.713, 0.404, 0.686], [0.713, 0.596, 0.186], [0.787, 0.096, 0.186], [0.787, 0.904, 0.686], [0.811, 0.194, 0.494], [0.811, 0.806, 0.994], [0.000, 0.339, 0.250], [0.000, 0.661, 0.750], [0.207, 0.063, 0.598], [0.207, 0.937, 0.098], [0.293, 0.437, 0.098], [0.293, 0.563, 0.598], [0.500, 0.161, 0.750], [0.500, 0.839, 0.250], [0.707, 0.437, 0.402], [0.707, 0.563, 0.902], [0.793, 0.063, 0.902], [0.793, 0.937, 0.402], [0.000, 0.500, 0.000], [0.000, 0.500, 0.500], [0.040, 0.258, 0.689], [0.040, 0.742, 0.189], [0.460, 0.242, 0.189], [0.460, 0.758, 0.689], [0.500, 0.000, 0.000], [0.500, 0.000, 0.500], [0.540, 0.242, 0.311], [0.540, 0.758, 0.811], [0.960, 0.258, 0.811], [0.960, 0.742, 0.311], [0.000, 0.311, 0.750], [0.000, 0.689, 0.250], [0.071, 0.276, 0.351], [0.071, 0.724, 0.851], [0.093, 0.041, 0.120], [0.093, 0.959, 0.620], [0.099, 0.172, 0.587], [0.099, 0.828, 0.087], [0.150, 0.448, 0.996], [0.150, 0.552, 0.496], [0.162, 0.428, 0.213], [0.162, 0.572, 0.713], [0.338, 0.072, 0.713], [0.338, 0.928, 0.213], [0.350, 0.052, 0.496], [0.350, 0.948, 0.996], [0.401, 0.328, 0.087], [0.401, 0.672, 0.587], [0.407, 0.459, 0.620], [0.407, 0.541, 0.120], [0.429, 0.224, 0.851], [0.429, 0.776, 0.351], [0.500, 0.189, 0.250], [0.500, 0.811, 0.750], [0.571, 0.224, 0.649], [0.571, 0.776, 0.149], [0.593, 0.459, 0.880], [0.593, 0.541, 0.380], [0.599, 0.328, 0.413], [0.599, 0.672, 0.913], [0.650, 0.052, 0.004], [0.650, 0.948, 0.504], [0.662, 0.072, 0.787], [0.662, 0.928, 0.287], [0.838, 0.428, 0.287], [0.838, 0.572, 0.787], [0.850, 0.448, 0.504], [0.850, 0.552, 0.004], [0.901, 0.172, 0.913], [0.901, 0.828, 0.413], [0.907, 0.041, 0.380], [0.907, 0.959, 0.880], [0.929, 0.276, 0.149], [0.929, 0.724, 0.649]],
  "e_tot_ev_per_atom": -6.31,
  "mass_density_g_cm3": 2.46
}